# 1
This record from the Alexandria database describes a relaxed Th2RuO crystal. The functional is PBE.

a = 4.1993 Å, b = 4.1993 Å, c = 22.0931 Å
α = 90.00°, β = 90.00°, γ = 120.00°
Space group R-3m (No. 166, hexagonal axes)
Symmetry-distinct sites (fractional):
Th 0.0000 0.0000 0.0976 [6 per cell]
Ru 0.0000 0.0000 0.5000 [3 per cell]
O 0.0000 0.0000 0.0000 [3 per cell]

Theoretical density in g/cm³: 8.6
Uncorrected energy in eV/cell: -104.6
Volume in Å³ per cell: 337.4



# 2
This record from the Alexandria database describes a relaxed TiRuO3 crystal. The functional is PBE.

a = 3.832 Å, b = 3.832 Å, c = 3.832 Å
α = 90.00°, β = 90.00°, γ = 90.00°
Space group Pm-3m (No. 221)
Symmetry-distinct sites (fractional):
Ti 0.000 0.000 0.000 [1 per cell]
Ru 0.500 0.500 0.500 [1 per cell]
O 0.000 0.500 0.500 [3 per cell]

Theoretical density in g/cm³: 5.8
Uncorrected energy in eV/cell: -35.8
Volume in Å³ per cell: 56.3



# 3
This record from the Alexandria database describes a relaxed Ti4RuO crystal. The functional is PBE.

a = 5.506 Å, b = 5.389 Å, c = 6.070 Å
α = 90.00°, β = 102.60°, γ = 90.00°
Space group P2_1/c (No. 14)
Symmetry-distinct sites (fractional):
Ti 0.094 0.158 0.194 [4 per cell]
Ti 0.344 0.625 0.121 [4 per cell]
Ru 0.500 0.000 0.000 [2 per cell]
O 0.000 0.000 0.500 [2 per cell]

Theoretical density in g/cm³: 5.8
Uncorrected energy in eV/cell: -103.3
Volume in Å³ per cell: 175.7



# 4
This record from the Alexandria database describes a relaxed Ti3RuO crystal. The functional is PBE.

a = 4.085 Å, b = 4.085 Å, c = 4.085 Å
α = 90.00°, β = 90.00°, γ = 90.00°
Space group Pm-3m (No. 221)
Symmetry-distinct sites (fractional):
Ti 0.000 0.000 0.500 [3 per cell]
Ru 0.500 0.500 0.500 [1 per cell]
O 0.000 0.000 0.000 [1 per cell]

Theoretical density in g/cm³: 6.4
Uncorrected energy in eV/cell: -43.9
Volume in Å³ per cell: 68.2



Question: Among the records above, which one has the lowest volume?
Answer: TiRuO3